Computed, not measured: a geometry-optimized Sm8Y2Cd structure at the PBE level of DFT.

Properties
DOS(E_F)   32.08 states/eV per cell
ΔH_f (0 K)   -0.015 eV/atom
Total energy   -0.3459 Ry/atom
Calculated density   7.0 g/cm3
Energy above the most stable polymorph in this dataset   0 meV per atom

Structure (CIF):
```
data_Sm8Y2Cd
_cell_length_a 11.389
_cell_length_b 5.103
_cell_length_c 12.588
_cell_angle_alpha 90.00
_cell_angle_beta 103.98
_cell_angle_gamma 90.00
_symmetry_space_group_name_H-M 'C 1 2/m 1'
_symmetry_Int_Tables_number 12
loop_
_symmetry_equiv_pos_as_xyz
'x,y,z'
'-x,-y,-z'
'-x,y,-z'
'x,-y,z'
'x+1/2,y+1/2,z'
'-x+1/2,-y+1/2,-z'
'-x+1/2,y+1/2,-z'
'x+1/2,-y+1/2,z'
loop_
_atom_site_label
_atom_site_fract_x
_atom_site_fract_y
_atom_site_fract_z
Sm1 0.036 0.000 0.324
Sm2 0.090 0.500 0.139
Sm3 0.140 0.000 0.953
Sm4 0.248 0.000 0.588
Y1 0.186 0.500 0.761
Cd1 0.000 0.500 0.500
```